Entry 1:
## Li12Mg5Zn2 (GGA-PBE)

Data for an optimized crystal structure of Li12Mg5Zn2.

Calculated values
Its energy of formation is -0.038 eV/atom.

Lattice parameters (Å, degrees): 7.5644 7.6758 7.2013 91.86 90.00 119.52
Last column: nearest neighbours and their distance in Å.
Element x y z (fractional)
Li1 0.5784 0.7424 0.3000  2 Li 2.73-2.81, 1 Zn 2.83, 3 Mg 2.91-2.98
Li2 0.9241 0.8483 0.1057  3 Li 2.58-2.73, 2 Zn 2.81
Li3 0.3316 0.2825 0.2368  1 Zn 2.71, 3 Li 2.77-2.96, 2 Mg 2.95-2.97
Li4 0.4541 0.9082 0.6671  5 Li 2.74-2.81, 2 Zn 2.77, 1 Mg 2.93
Li5 0.4216 0.2576 0.7000  2 Li 2.73-2.81, 1 Zn 2.83, 3 Mg 2.91-2.98
Li6 0.6684 0.7175 0.7632  1 Zn 2.71, 3 Li 2.77-2.96, 2 Mg 2.95-2.97
Li7 0.9509 0.2825 0.2368  1 Zn 2.71, 3 Li 2.77-2.96, 2 Mg 2.95-2.97
Li8 0.1640 0.7424 0.3000  2 Li 2.73-2.81, 1 Zn 2.83, 3 Mg 2.91-2.98
Li9 0.8360 0.2576 0.7000  2 Li 2.73-2.81, 1 Zn 2.83, 3 Mg 2.91-2.98
Li10 0.0759 0.1517 0.8943  3 Li 2.58-2.73, 2 Zn 2.81
Li11 0.0491 0.7175 0.7632  1 Zn 2.71, 3 Li 2.77-2.96, 2 Mg 2.95-2.97
Li12 0.5459 0.0918 0.3329  5 Li 2.74-2.81, 2 Zn 2.77, 1 Mg 2.93
Mg1 0.2941 0.5881 0.9822  8 Li 2.93-3.18, 2 Zn 3.03, 1 Mg 3.17
Mg2 0.7583 0.5166 0.4511  9 Li 2.91-3.18, 2 Mg 3.17-3.23
Mg3 0.7059 0.4118 0.0178  8 Li 2.93-3.18, 2 Zn 3.03, 1 Mg 3.17
Mg4 0.2417 0.4834 0.5489  9 Li 2.91-3.18, 2 Mg 3.17-3.23
Mg5 0.0000 0.0000 0.5000  10 Li 2.98-3.12, 2 Mg 3.23
Zn1 0.3307 0.0000 0.0000  1 Zn 2.56, 8 Li 2.71-2.83
Zn2 0.6693 0.0000 0.0000  1 Zn 2.56, 8 Li 2.71-2.83

Entry 2:
## RbPb4O6 (GGA-PBE)

Data for an optimized crystal structure of RbPb4O6.

Calculated values
The uncorrected formation energy comes out at -729 meV/atom.

Lattice parameters (Å, degrees): 6.9218 6.9218 6.9218 81.66 124.93 124.93
Last column: nearest neighbours and their distance in Å.
Element x y z (fractional)
Pb1 0.0000 0.1892 0.5431  3 O 2.15-2.31
Pb2 0.6461 0.4569 0.4569  3 O 2.15-2.31
Pb3 0.3539 0.8108 0.8108  3 O 2.15-2.31
Pb4 0.0000 0.5431 0.1892  3 O 2.15-2.31
O1 0.5000 0.0000 0.5000  4 Pb 2.74
O2 0.0000 0.5739 0.8760  3 Pb 2.15-2.31
O3 0.5000 0.5000 0.0000  4 Pb 2.74
O4 0.6979 0.1240 0.1240  3 Pb 2.15-2.31
O5 0.0000 0.8760 0.5739  3 Pb 2.15-2.31
O6 0.3021 0.4261 0.4261  3 Pb 2.15-2.31
Rb1 0.0000 0.0000 0.0000  8 O 3.19-3.20, 4 Pb 3.24

Entry 3:
## RbNa2C (GGA-PBE)

Data for an optimized crystal structure of RbNa2C.

Calculated values
Its energy of formation is 1.070 eV/atom.

Lattice parameters (Å, degrees): 7.6648 7.6648 7.7828 60.50 60.50 90.00
Last column: nearest neighbours and their distance in Å.
Element x y z (fractional)
Rb1 0.0000 0.0000 0.0000  12 Na 4.51-4.61, 4 Rb 4.74, 4 C 4.74
Rb2 0.7500 0.2500 0.5000  12 Na 4.51-4.61, 4 Rb 4.74, 4 C 4.74
C1 0.5000 0.5000 0.0000  4 Na 2.37
C2 0.2500 0.7500 0.5000  4 Na 2.37
Na1 0.3750 0.6250 0.7500  2 C 2.37
Na2 0.8750 0.6250 0.7500  2 C 2.37
Na3 0.3750 0.6250 0.2500  2 C 2.37
Na4 0.3750 0.1250 0.2500  2 C 2.37

Entry 4:
## CdGeBiH (GGA-PBE)

Data for an optimized crystal structure of CdGeBiH.

Calculated values
The energy relative to the lowest polymorph listed for this composition is 59.6 meV per atom.

Lattice parameters (Å, degrees): 4.2253 5.0311 5.7090 65.46 90.02 65.41
Last column: nearest neighbours and their distance in Å.
Element x y z (fractional)
Cd1 0.7094 0.4741 0.7728  2 Ge 2.86, 1 H 2.92, 1 Bi 2.92
Ge1 0.2047 0.4818 0.4320  1 H 1.60
H1 0.3597 0.1656 0.3821  1 Ge 1.60
Bi1 0.5237 0.8461 0.0745  1 H 2.75, 2 Ge 2.88, 1 Cd 2.92

Entry 5:
## Ti3VTe (GGA-PBE)

Data for an optimized crystal structure of Ti3VTe.

Calculated values
The uncorrected formation energy comes out at -22 meV/atom. The energy relative to the lowest polymorph listed for this composition is 0.0 meV per atom.

Lattice parameters (Å, degrees): 4.8382 5.6311 8.7042 71.25 73.86 64.56
Last column: nearest neighbours and their distance in Å.
Element x y z (fractional)
V1 0.6320 0.2141 0.5220  6 Ti 2.47-2.71
V2 0.3680 0.7859 0.4780  6 Ti 2.47-2.71
Ti1 0.8623 0.6676 0.6077  3 V 2.66-2.70, 4 Ti 2.75-2.92, 1 Te 2.86
Ti2 0.5893 0.5893 0.2321  2 V 2.49-2.71, 2 Te 2.78
Ti3 0.8588 0.9951 0.2874  1 V 2.47
Ti4 0.1412 0.0049 0.7126  1 V 2.47
Ti5 0.4107 0.4107 0.7679  2 V 2.49-2.71, 2 Te 2.78
Ti6 0.1377 0.3324 0.3923  3 V 2.66-2.70, 4 Ti 2.75-2.92, 1 Te 2.86
Te1 0.8642 0.3366 0.9350  6 Ti 2.78-3.05
Te2 0.1358 0.6634 0.0650  6 Ti 2.78-3.05

Entry 6:
## Pd12WAu3 (GGA-PBE)

Data for an optimized crystal structure of Pd12WAu3.

Calculated values
Its energy of formation is -0.071 eV/atom.

Lattice parameters (Å, degrees): 3.9811 3.9811 15.9836 90.00 90.00 90.00
Last column: nearest neighbours and their distance in Å.
Element x y z (fractional)
Pd1 0.5000 0.0000 0.1166  2 W 2.73, 8 Pd 2.73-2.87, 2 Au 2.89
Pd2 0.0000 0.5000 0.1166  2 W 2.73, 8 Pd 2.73-2.87, 2 Au 2.89
Pd3 0.0000 0.5000 0.6260  8 Pd 2.82-2.85, 4 Au 2.83
Pd4 0.0000 0.5000 0.3740  8 Pd 2.82-2.85, 4 Au 2.83
Pd5 0.5000 0.5000 0.5000  4 Au 2.82, 8 Pd 2.83
Pd6 0.5000 0.5000 0.2460  4 Au 2.82, 8 Pd 2.85-2.87
Pd7 0.5000 0.0000 0.3740  8 Pd 2.82-2.85, 4 Au 2.83
Pd8 0.5000 0.5000 0.0000  8 Pd 2.73, 4 W 2.82
Pd9 0.0000 0.5000 0.8834  2 W 2.73, 8 Pd 2.73-2.87, 2 Au 2.89
Pd10 0.5000 0.0000 0.8834  2 W 2.73, 8 Pd 2.73-2.87, 2 Au 2.89
Pd11 0.5000 0.5000 0.7540  4 Au 2.82, 8 Pd 2.85-2.87
Pd12 0.5000 0.0000 0.6260  8 Pd 2.82-2.85, 4 Au 2.83
Au1 0.0000 0.0000 0.7521  12 Pd 2.82-2.89
Au2 0.0000 0.0000 0.2479  12 Pd 2.82-2.89
Au3 0.0000 0.0000 0.5000  12 Pd 2.82-2.83
W1 0.0000 0.0000 0.0000  12 Pd 2.73-2.82

Entry 7:
## CsLiNi2Cl8 (GGA-PBE)

Data for an optimized crystal structure of CsLiNi2Cl8.

Calculated values
The uncorrected formation energy comes out at -908 meV/atom.

Lattice parameters (Å, degrees): 6.4379 6.4379 10.1772 71.56 71.56 60.00
Last column: nearest neighbours and their distance in Å.
Element x y z (fractional)
Cl1 0.9619 0.6073 0.1649  1 Ni 2.17
Cl2 0.0381 0.3927 0.8351  1 Ni 2.17
Cl3 0.7341 0.0381 0.8351  1 Ni 2.17
Cl4 0.1797 0.1797 0.4608  1 Ni 2.18
Cl5 0.8203 0.8203 0.5392  1 Ni 2.18
Cl6 0.3927 0.7341 0.8351  1 Ni 2.17
Cl7 0.6073 0.2659 0.1649  1 Ni 2.17
Cl8 0.2659 0.9619 0.1649  1 Ni 2.17
Li1 0.0000 0.0000 0.0000  6 Cl 2.64
Ni1 0.7437 0.7437 0.7688  4 Cl 2.17-2.18
Ni2 0.2563 0.2563 0.2312  4 Cl 2.17-2.18
Cs1 0.5000 0.5000 0.5000  12 Cl 3.74-3.89

Entry 8:
## RbCaNb (GGA-PBE)

Data for an optimized crystal structure of RbCaNb.

Calculated values
Its energy of formation is 0.421 eV/atom. The energy relative to the lowest polymorph listed for this composition is 75.8 meV per atom.

Lattice parameters (Å, degrees): 4.5608 15.4501 4.5606 89.85 59.99 98.35
Last column: nearest neighbours and their distance in Å.
Element x y z (fractional)
Nb1 0.4306 0.0995 0.0339  3 Nb 2.63
Nb2 0.7637 0.0995 0.3676  3 Nb 2.63
Rb1 0.5288 0.7402 0.4871  3 Ca 4.39-4.40, 6 Rb 4.56
Rb2 0.0070 0.4587 0.2415  3 Ca 4.39-4.41, 6 Rb 4.56
Ca1 0.0125 0.9715 0.7443  6 Nb 3.28
Ca2 0.1820 0.2275 0.6571  6 Nb 3.27-3.28

Entry 9:
## Sm3DyN (GGA-PBE)

Data for an optimized crystal structure of Sm3DyN.

Calculated values
The uncorrected formation energy comes out at -476 meV/atom.

Lattice parameters (Å, degrees): 5.0757 5.0757 5.0757 90.00 90.00 90.00
Last column: nearest neighbours and their distance in Å.
Element x y z (fractional)
Sm1 0.5000 0.0000 0.0000  2 N 2.54
Sm2 0.0000 0.5000 0.0000  2 N 2.54
Sm3 0.0000 0.0000 0.5000  2 N 2.54
N1 0.0000 0.0000 0.0000  6 Sm 2.54
Dy1 0.5000 0.5000 0.5000  12 Sm 3.59

Entry 10:
## PtRhAu2 (GGA-PBE)

Data for an optimized crystal structure of PtRhAu2.

Calculated values
Its energy of formation is 0.140 eV/atom. The energy relative to the lowest polymorph listed for this composition is 73.7 meV per atom.

Lattice parameters (Å, degrees): 2.7980 2.7980 9.8190 90.00 90.00 119.66
Last column: nearest neighbours and their distance in Å.
Element x y z (fractional)
Au1 0.5000 0.5000 0.7451  8 Au 2.80-2.95, 2 Pt 2.88
Au2 0.0000 0.0000 0.0093  8 Au 2.80-2.95, 2 Rh 2.80
Pt1 0.0000 0.0000 0.4895  2 Rh 2.69, 6 Pt 2.80-2.81, 2 Au 2.88
Rh1 0.5000 0.5000 0.2561  2 Pt 2.69, 6 Rh 2.80-2.81, 2 Au 2.80

Entry 11:
## Li2SiPd4 (GGA-PBE)

Data for an optimized crystal structure of Li2SiPd4.

Calculated values
The uncorrected formation energy comes out at -352 meV/atom. The energy relative to the lowest polymorph listed for this composition is 146.1 meV per atom.

Lattice parameters (Å, degrees): 2.9094 2.9114 12.5663 96.65 90.00 90.00
Last column: nearest neighbours and their distance in Å.
Element x y z (fractional)
Pd1 0.5000 0.9417 0.8835  4 Si 2.52
Pd2 0.0000 0.3612 0.7223  4 Li 2.57
Pd3 0.5000 0.0583 0.1165  4 Si 2.52
Pd4 0.0000 0.6388 0.2777  4 Li 2.57
Li1 0.5000 0.7996 0.5992  4 Pd 2.57, 2 Li 2.87
Li2 0.5000 0.2004 0.4008  4 Pd 2.57, 2 Li 2.87
Si1 0.0000 0.5000 0.0000  8 Pd 2.52